DFT (PBE-GGA) results for a relaxed structure of AcTlAg2.

## Properties
**DOS(E_F)**: 3.5 states/eV per cell
**Spin magnetization**: 0.00 μB per formula unit
**Symmetry**: Fm-3m, No. 225

Cell: 5.2895 5.2895 5.2895 Å, 60.00 60.00 60.00°
Element x y z (fractional)
Ag: 0.2500 0.2500 0.2500
Ac: 0.5000 0.5000 0.5000
Ag: 0.7500 0.7500 0.7500
Tl: 0.0000 0.0000 0.0000

---

DFT (PBE-GGA) results for a relaxed structure of AcTlAg4.

## Properties
**DOS(E_F)**: 1.4 states/eV per cell
**Spin magnetization**: 0.00 μB per formula unit
**Symmetry**: F-43m, No. 216

Cell: 5.8029 5.8029 5.8029 Å, 60.00 60.00 60.00°
Element x y z (fractional)
Ag: 0.6255 0.6255 0.6255
Ac: 0.2500 0.2500 0.2500
Ag: 0.6255 0.1236 0.6255
Tl: 0.0000 0.0000 0.0000
Ag: 0.1236 0.6255 0.6255
Ag: 0.6255 0.6255 0.1236

---

DFT (PBE-GGA) results for a relaxed structure of AcTlAg.

## Properties
**DOS(E_F)**: 3.2 states/eV per cell
**Spin magnetization**: 0.00 μB per formula unit
**Symmetry**: C2/m, No. 12

Cell: 4.4511 4.4511 10.2118 Å, 106.34 106.34 84.38°
Element x y z (fractional)
Tl: 0.6619 0.6619 0.9212
Ac: 0.0093 0.0093 0.2821
Ac: 0.9907 0.9907 0.7179
Ag: 0.3963 0.3963 0.5952
Ag: 0.6037 0.6037 0.4048
Tl: 0.3381 0.3381 0.0788

---

DFT (PBE-GGA) results for a relaxed structure of AcTlAg.

## Properties
**DOS(E_F)**: 4.7 states/eV per cell
**Spin magnetization**: 0.00 μB per formula unit
**Symmetry**: C2/m, No. 12

Cell: 5.0252 6.3028 6.5890 Å, 77.07 67.58 66.51°
Element x y z (fractional)
Ac: 0.5358 0.2215 0.7070
Ac: 0.4642 0.7785 0.2930
Tl: 0.1699 0.7715 0.8886
Ag: 0.1592 0.3768 0.3048
Tl: 0.8301 0.2285 0.1114
Ag: 0.8408 0.6232 0.6952

---

Number 1: energy relative to the elements -0.213 eV per atom. Number 2: energy relative to the elements -0.208 eV per atom. Number 3: energy relative to the elements -0.195 eV per atom. Number 4: energy relative to the elements -0.306 eV per atom.